The following is a meta-GGA SCAN calculation of Na9Cu2O7 at its PBEsol-relaxed geometry, from the Alexandria database.

abc: 9.3966 9.7432 10.1822
angles: 90.00 90.00 90.00
Element x y z (fractional)
1 Na 0.0133 0.7403 0.1365
2 Na 0.0233 0.1582 0.8846
3 Na 0.0742 0.6683 0.8608
4 Na 0.0696 0.0452 0.1500
5 Na 0.0924 0.5149 0.5926
6 Na 0.1514 0.5487 0.3009
7 Na 0.1601 0.1052 0.4799
8 Na 0.2153 0.7744 0.5504
9 Na 0.2224 0.2859 0.2258
10 Na 0.2776 0.2859 0.7258
11 Na 0.2847 0.7744 0.0504
12 Na 0.3399 0.1052 0.9799
13 Na 0.3486 0.5487 0.8009
14 Na 0.4076 0.5149 0.0926
15 Na 0.4304 0.0452 0.6500
16 Na 0.4258 0.6683 0.3608
17 Na 0.4767 0.1582 0.3846
18 Na 0.4867 0.7403 0.6365
19 Na 0.5133 0.2597 0.1365
20 Na 0.5233 0.8418 0.8846
21 Na 0.5742 0.3317 0.8608
22 Na 0.5696 0.9548 0.1500
23 Na 0.5924 0.4851 0.5926
24 Na 0.6514 0.4513 0.3009
25 Na 0.6601 0.8948 0.4799
26 Na 0.7153 0.2256 0.5504
27 Na 0.7224 0.7141 0.2258
28 Na 0.7776 0.7141 0.7258
29 Na 0.7847 0.2256 0.0504
30 Na 0.8399 0.8948 0.9799
31 Na 0.8486 0.4513 0.8009
32 Na 0.9076 0.4851 0.0926
33 Na 0.9304 0.9548 0.6500
34 Na 0.9258 0.3317 0.3608
35 Na 0.9767 0.8418 0.3846
36 Na 0.9867 0.2597 0.6365
37 Cu 0.1546 0.3938 0.9742
38 Cu 0.1933 0.9321 0.8013
39 Cu 0.3067 0.9321 0.3013
40 Cu 0.3454 0.3938 0.4742
41 Cu 0.6546 0.6062 0.9742
42 Cu 0.6933 0.0679 0.8013
43 Cu 0.8067 0.0679 0.3013
44 Cu 0.8454 0.6062 0.4742
45 O 0.0329 0.2770 0.0830
46 O 0.0905 0.9227 0.9619
47 O 0.0978 0.4240 0.7986
48 O 0.1552 0.3358 0.4427
49 O 0.1499 0.0837 0.7026
50 O 0.1585 0.5618 0.0668
51 O 0.1966 0.7787 0.3051
52 O 0.3034 0.7787 0.8051
53 O 0.3415 0.5618 0.5668
54 O 0.3501 0.0837 0.2026
55 O 0.3448 0.3358 0.9427
56 O 0.4022 0.4240 0.2986
57 O 0.4095 0.9227 0.4619
58 O 0.4671 0.2770 0.5830
59 O 0.5329 0.7230 0.0830
60 O 0.5905 0.0773 0.9619
61 O 0.5978 0.5760 0.7986
62 O 0.6552 0.6642 0.4427
63 O 0.6499 0.9163 0.7026
64 O 0.6585 0.4382 0.0668
65 O 0.6966 0.2213 0.3051
66 O 0.8034 0.2213 0.8051
67 O 0.8415 0.4382 0.5668
68 O 0.8501 0.9163 0.2026
69 O 0.8448 0.6642 0.9427
70 O 0.9022 0.5760 0.2986
71 O 0.9095 0.0773 0.4619
72 O 0.9671 0.7230 0.5830

Results
- Raw total energy: -134.96 eV/f.u.
- Space-group type: Pca2_1, No. 29
- Crystal system: orthorhombic